Entry 1:
Material: TaVS4
Method: DFT, PBE-GGA
State: relaxed

Computed properties:
uncorrected formation energy: -0.95 eV/atom
mass density: 4.695 Mg/m³

a = 3.333 Å, b = 5.778 Å, c = 6.881 Å
α = 106.02°, β = 90.00°, γ = 90.00°
Each line ends with the local moment (μB).
Positions (direct):
V (0.000, 0.500, 0.500)  1.14
S (0.500, 0.731, 0.720)  -0.03
S (0.000, 0.249, 0.728)  -0.02
S (0.500, 0.269, 0.280)  -0.03
S (0.000, 0.751, 0.272)  -0.02
Ta (0.500, 0.000, 0.500)  0.12


Entry 2:
Material: La2CrCoMo
Method: DFT, PBE-GGA
State: relaxed

Computed properties:
calculated formation energy: 0.980 eV/atom
mass density: 6.826 Mg/m³

a = 5.337 Å, b = 4.140 Å, c = 5.337 Å
α = 90.00°, β = 90.00°, γ = 90.00°
Positions (direct):
Co (0.000, 0.000, 0.000)
Cr (0.000, 0.500, 0.000)
Mo (0.500, 0.500, 0.500)
La (0.000, 0.000, 0.500)
La (0.500, 0.000, 0.000)


Entry 3:
Material: Ce4TePb5
Method: DFT, PBE-GGA
State: relaxed

Computed properties:
uncorrected formation energy: -0.51 eV/atom
mass density: 9.005 Mg/m³

a = 4.468 Å, b = 8.743 Å, c = 8.743 Å
α = 81.32°, β = 75.19°, γ = 75.19°
Each line ends with the local moment (μB).
Positions (direct):
Pb (0.946, 0.127, 0.480)  -0.01
Pb (0.554, 0.520, 0.873)  -0.01
Pb (0.554, 0.873, 0.520)  -0.01
Pb (0.946, 0.480, 0.127)  -0.01
Pb (0.750, 0.500, 0.500)  0.00
Ce (0.250, 0.277, 0.723)  0.87
Ce (0.934, 0.816, 0.816)  0.88
Ce (0.566, 0.184, 0.184)  0.88
Ce (0.250, 0.723, 0.277)  0.87
Te (0.250, 0.000, 0.000)  -0.02


Entry 4:
Material: ZrTcBr
Method: DFT, PBE-GGA
State: relaxed

Computed properties:
uncorrected formation energy: 0.13 eV/atom
mass density: 7.421 Mg/m³
distance to the lowest polymorph of the same formula: 192.1 meV per atom

a = 6.223 Å, b = 6.223 Å, c = 6.223 Å
α = 149.96°, β = 149.96°, γ = 43.00°
Positions (direct):
Zr (0.684, 0.684, 0.000)
Tc (0.318, 0.318, 0.000)
Br (0.999, 0.999, 0.000)


Entry 5:
Material: Be3NbNi
Method: DFT, PBE-GGA
State: relaxed

Computed properties:
calculated formation energy: -0.106 eV/atom
mass density: 5.468 Mg/m³
distance to the lowest polymorph of the same formula: 0.0 meV per atom

a = 4.543 Å, b = 8.334 Å, c = 5.544 Å
α = 138.73°, β = 114.19°, γ = 90.00°
Positions (direct):
Be (0.250, 0.940, 0.500)
Be (0.305, 0.305, 0.111)
Be (0.805, 0.305, 0.111)
Be (0.750, 0.060, 0.500)
Be (0.195, 0.695, 0.889)
Be (0.695, 0.695, 0.889)
Ni (0.500, 0.000, 0.000)
Ni (0.000, 0.500, 0.000)
Nb (0.750, 0.765, 0.500)
Nb (0.250, 0.235, 0.500)


Entry 6:
Material: CaNb3Tc
Method: DFT, PBE-GGA
State: relaxed

Computed properties:
calculated formation energy: 0.794 eV/atom
mass density: 5.823 Mg/m³
distance to the lowest polymorph of the same formula: 0.0 meV per atom

a = 4.917 Å, b = 4.917 Å, c = 4.917 Å
α = 90.00°, β = 90.00°, γ = 90.00°
Positions (direct):
Nb (0.500, 0.000, 0.000)
Nb (0.000, 0.000, 0.500)
Nb (0.000, 0.500, 0.000)
Tc (0.000, 0.000, 0.000)
Ca (0.500, 0.500, 0.500)